A) First-principles (PBE-GGA) data for crystalline YNb2Fe2 at its relaxed geometry, as listed in Alexandria via LeMat-Bulk.

Calculated values
Mass density (Mg/m³): 7.12
Size of the total moment (μB/f.u.): 0.0

a = 4.2675 Å, b = 4.2675 Å, c = 9.8952 Å
α = 90.00°, β = 90.00°, γ = 90.00°
Atoms (fractional coordinates):
Y  0.0000  0.0000  0.0000
Y  0.5000  0.5000  0.5000
Nb  0.0000  0.5000  0.2500
Nb  0.0000  0.5000  0.7500
Nb  0.5000  0.0000  0.2500
Nb  0.5000  0.0000  0.7500
Fe  0.0000  0.0000  0.3851
Fe  0.0000  0.0000  0.6149
Fe  0.5000  0.5000  0.1149
Fe  0.5000  0.5000  0.8851

---

B) First-principles (PBE-GGA) data for crystalline YNb2Fe2 at its relaxed geometry, as listed in Alexandria via LeMat-Bulk.

Calculated values
Mass density (Mg/m³): 7.51
Size of the total moment (μB/f.u.): 0.0

a = 7.4612 Å, b = 7.4612 Å, c = 3.0688 Å
α = 90.00°, β = 90.00°, γ = 90.00°
Atoms (fractional coordinates):
Y  0.0000  0.0000  0.0000
Y  0.5000  0.5000  0.0000
Nb  0.1507  0.3493  0.5000
Nb  0.3493  0.8493  0.5000
Nb  0.6507  0.1507  0.5000
Nb  0.8493  0.6507  0.5000
Fe  0.1268  0.6268  0.0000
Fe  0.3732  0.1268  0.0000
Fe  0.6268  0.8732  0.0000
Fe  0.8732  0.3732  0.0000

---

C) First-principles (PBE-GGA) data for crystalline YNb2Fe2 at its relaxed geometry, as listed in Alexandria via LeMat-Bulk.

Calculated values
Mass density (Mg/m³): 6.87
Size of the total moment (μB/f.u.): 0.9

a = 4.3368 Å, b = 4.3368 Å, c = 9.9303 Å
α = 90.00°, β = 90.00°, γ = 90.00°
Atoms (fractional coordinates):
Y  0.0000  0.0000  0.0000
Y  0.5000  0.5000  0.5000
Nb  0.0000  0.0000  0.3595
Nb  0.0000  0.0000  0.6405
Nb  0.5000  0.5000  0.1405
Nb  0.5000  0.5000  0.8595
Fe  0.0000  0.5000  0.2500
Fe  0.0000  0.5000  0.7500
Fe  0.5000  0.0000  0.2500
Fe  0.5000  0.0000  0.7500

---

Which structure is the most stable? The one labeled A).

---

A) First-principles (PBE-GGA) data for crystalline NbZn2Fe at its relaxed geometry, as listed in Alexandria via LeMat-Bulk.

Calculated values
Mass density (Mg/m³): 8.27
Size of the total moment (μB/f.u.): 0.0

a = 6.0774 Å, b = 6.0774 Å, c = 6.0774 Å
α = 90.00°, β = 90.00°, γ = 90.00°
Atoms (fractional coordinates):
Nb  0.0000  0.0000  0.0000
Nb  0.0000  0.5000  0.5000
Nb  0.5000  0.0000  0.5000
Nb  0.5000  0.5000  0.0000
Zn  0.2500  0.2500  0.2500
Zn  0.2500  0.2500  0.7500
Zn  0.2500  0.7500  0.2500
Zn  0.2500  0.7500  0.7500
Zn  0.7500  0.2500  0.2500
Zn  0.7500  0.2500  0.7500
Zn  0.7500  0.7500  0.2500
Zn  0.7500  0.7500  0.7500
Fe  0.0000  0.0000  0.5000
Fe  0.0000  0.5000  0.0000
Fe  0.5000  0.0000  0.0000
Fe  0.5000  0.5000  0.5000

---

B) First-principles (PBE-GGA) data for crystalline NbZn2Fe at its relaxed geometry, as listed in Alexandria via LeMat-Bulk.

Calculated values
Mass density (Mg/m³): 7.43
Size of the total moment (μB/f.u.): 2.0

a = 7.0018 Å, b = 7.0018 Å, c = 5.1010 Å
α = 90.00°, β = 90.00°, γ = 90.00°
Atoms (fractional coordinates):
Nb  0.0000  0.0000  0.0000
Nb  0.0000  0.5000  0.2500
Nb  0.5000  0.0000  0.7500
Nb  0.5000  0.5000  0.5000
Zn  0.2228  0.7500  0.6250
Zn  0.2500  0.2228  0.3750
Zn  0.2500  0.2772  0.8750
Zn  0.2772  0.7500  0.1250
Zn  0.7228  0.2500  0.1250
Zn  0.7500  0.7228  0.8750
Zn  0.7500  0.7772  0.3750
Zn  0.7772  0.2500  0.6250
Fe  0.0000  0.0000  0.5000
Fe  0.0000  0.5000  0.7500
Fe  0.5000  0.0000  0.2500
Fe  0.5000  0.5000  0.0000

---

Which structure is the most stable? The one labeled A).

---

A) First-principles (PBE-GGA) data for crystalline NbZn2Fe2 at its relaxed geometry, as listed in Alexandria via LeMat-Bulk.

Calculated values
Mass density (Mg/m³): 8.34
Size of the total moment (μB/f.u.): 0.0

a = 6.9278 Å, b = 6.9278 Å, c = 2.7817 Å
α = 90.00°, β = 90.00°, γ = 90.00°
Atoms (fractional coordinates):
Nb  0.0000  0.0000  0.0000
Nb  0.5000  0.5000  0.0000
Zn  0.1234  0.3766  0.0000
Zn  0.3766  0.8766  0.0000
Zn  0.6234  0.1234  0.0000
Zn  0.8766  0.6234  0.0000
Fe  0.1756  0.6756  0.5000
Fe  0.3244  0.1756  0.5000
Fe  0.6756  0.8244  0.5000
Fe  0.8244  0.3244  0.5000

---

B) First-principles (PBE-GGA) data for crystalline NbZn2Fe2 at its relaxed geometry, as listed in Alexandria via LeMat-Bulk.

Calculated values
Mass density (Mg/m³): 7.97
Size of the total moment (μB/f.u.): 4.5

a = 7.2474 Å, b = 7.2474 Å, c = 2.6617 Å
α = 90.00°, β = 90.00°, γ = 90.00°
Atoms (fractional coordinates):
Nb  0.0000  0.0000  0.0000
Nb  0.5000  0.5000  0.0000
Zn  0.1787  0.3213  0.5000
Zn  0.3213  0.8213  0.5000
Zn  0.6787  0.1787  0.5000
Zn  0.8213  0.6787  0.5000
Fe  0.1162  0.6162  0.0000
Fe  0.3838  0.1162  0.0000
Fe  0.6162  0.8838  0.0000
Fe  0.8838  0.3838  0.0000

---

Which structure is the most stable? The one labeled B).

---

A) First-principles (PBE-GGA) data for crystalline Nb3ZnFe at its relaxed geometry, as listed in Alexandria via LeMat-Bulk.

Calculated values
Mass density (Mg/m³): 6.89
Size of the total moment (μB/f.u.): 0.0

a = 4.5858 Å, b = 4.5858 Å, c = 4.5858 Å
α = 90.00°, β = 90.00°, γ = 90.00°
Atoms (fractional coordinates):
Nb  0.0000  0.0000  0.5000
Nb  0.0000  0.5000  0.0000
Nb  0.5000  0.0000  0.0000
Zn  0.5000  0.5000  0.5000
Fe  0.0000  0.0000  0.0000

---

B) First-principles (PBE-GGA) data for crystalline Nb3ZnFe at its relaxed geometry, as listed in Alexandria via LeMat-Bulk.

Calculated values
Mass density (Mg/m³): 6.59
Size of the total moment (μB/f.u.): 0.7

a = 4.6548 Å, b = 4.6548 Å, c = 4.6548 Å
α = 90.00°, β = 90.00°, γ = 90.00°
Atoms (fractional coordinates):
Nb  0.0000  0.0000  0.5000
Nb  0.0000  0.5000  0.0000
Nb  0.5000  0.0000  0.0000
Zn  0.0000  0.0000  0.0000
Fe  0.5000  0.5000  0.5000

---

Which structure is the most stable? The one labeled A).

---

A) First-principles (PBE-GGA) data for crystalline ZrNbFe at its relaxed geometry, as listed in Alexandria via LeMat-Bulk.

Calculated values
Mass density (Mg/m³): 7.75
Size of the total moment (μB/f.u.): 0.8

a = 3.1663 Å, b = 3.1663 Å, c = 10.2627 Å
α = 90.00°, β = 90.00°, γ = 90.00°
Atoms (fractional coordinates):
Zr  0.0000  0.0000  0.0000
Zr  0.5000  0.5000  0.5000
Nb  0.0000  0.0000  0.3039
Nb  0.5000  0.5000  0.8039
Fe  0.0000  0.0000  0.6671
Fe  0.5000  0.5000  0.1671

---

B) First-principles (PBE-GGA) data for crystalline ZrNbFe at its relaxed geometry, as listed in Alexandria via LeMat-Bulk.

Calculated values
Mass density (Mg/m³): 7.51
Size of the total moment (μB/f.u.): 0.0

a = 12.7371 Å, b = 3.1913 Å, c = 5.8850 Å
α = 90.00°, β = 117.51°, γ = 90.00°
Atoms (fractional coordinates):
Zr  0.0000  0.0000  0.0000
Zr  0.2162  0.5000  0.4615
Zr  0.5000  0.5000  0.0000
Zr  0.7162  0.0000  0.4615
Nb  0.2882  0.0000  0.0366
Nb  0.4994  0.5000  0.4812
Nb  0.7882  0.5000  0.0366
Nb  0.9994  0.0000  0.4812
Fe  0.1309  0.5000  0.8617
Fe  0.3854  0.0000  0.6101
Fe  0.6309  0.0000  0.8617
Fe  0.8854  0.5000  0.6101

---

Which structure is the most stable? The one labeled A).

---

A) First-principles (PBE-GGA) data for crystalline ZrNbFe at its relaxed geometry, as listed in Alexandria via LeMat-Bulk.

Calculated values
Mass density (Mg/m³): 7.87
Size of the total moment (μB/f.u.): 0.1

a = 3.2188 Å, b = 4.6518 Å, c = 13.5300 Å
α = 90.00°, β = 90.00°, γ = 90.00°
Atoms (fractional coordinates):
Zr  0.0000  0.0000  0.0000
Zr  0.0000  0.0000  0.3225
Zr  0.0000  0.5000  0.5000
Zr  0.0000  0.5000  0.8225
Nb  0.0000  0.0000  0.6733
Nb  0.0000  0.5000  0.1733
Nb  0.5000  0.0000  0.5053
Nb  0.5000  0.5000  0.0053
Fe  0.5000  0.0000  0.1654
Fe  0.5000  0.0000  0.8237
Fe  0.5000  0.5000  0.3237
Fe  0.5000  0.5000  0.6654

---

B) First-principles (PBE-GGA) data for crystalline ZrNbFe at its relaxed geometry, as listed in Alexandria via LeMat-Bulk.

Calculated values
Mass density (Mg/m³): 7.61
Size of the total moment (μB/f.u.): 0.0

a = 10.4479 Å, b = 3.2054 Å, c = 7.6509 Å
α = 90.00°, β = 125.17°, γ = 90.00°
Atoms (fractional coordinates):
Zr  0.0000  0.0000  0.0000
Zr  0.2486  0.5000  0.4387
Zr  0.5000  0.5000  0.0000
Zr  0.7486  0.0000  0.4387
Nb  0.0940  0.5000  0.7222
Nb  0.3289  0.0000  0.1459
Nb  0.5940  0.0000  0.7222
Nb  0.8289  0.5000  0.1459
Fe  0.0111  0.0000  0.4106
Fe  0.2932  0.0000  0.7378
Fe  0.5111  0.5000  0.4106
Fe  0.7932  0.5000  0.7378

---

Which structure is the most stable? The one labeled B).